Entry from Alexandria: a relaxed Rb3YP crystal (GGA-PBE).

Values from the calculation:
**DFT formation energy**: 1.2326 eV per atom
**Total magnetization**: 1.000 μB per formula unit
**Energy**: -1.723 eV per atom
**Fermi-level density of states**: 2.9087 states/eV/atom

```
Rb3YP
1.0
7.191 0.000 0.000
0.000 7.191 0.000
0.000 0.000 7.191
Rb Y P
3 1 1
direct
0.000 0.000 0.500
0.000 0.500 0.000
0.500 0.000 0.000
0.000 0.000 0.000
0.500 0.500 0.500
```